1.
12
Lattice="5.3256 0.0000 0.0000 0.0000 3.7597 0.0000 0.0000 0.0000 8.0114" Properties=species:S:1:pos:R:3 comment="Ru2Rh (meta-GGA SCAN, PBEsol geometry)" spacegroup=Pnma dft_energy_ev_per_atom=-34.41 de_polymorph_ev_per_fu=0.17 total_magnetization_mub_per_cell=0.0 pbc="T T T"
Ru 0.6360 0.9399 0.6570
Ru 0.6628 0.9399 6.0527
Ru 1.9999 2.8198 2.0470
Ru 2.0268 2.8198 4.6627
Ru 3.2988 0.9399 3.3487
Ru 3.3256 0.9399 5.9644
Ru 4.6627 2.8198 1.9587
Ru 4.6896 2.8198 7.3545
Rh 0.6701 0.9399 3.3123
Rh 1.9926 2.8198 7.3181
Rh 3.3329 0.9399 0.6934
Rh 4.6554 2.8198 4.6991

2.
12
Lattice="9.7653 0.0000 0.0000 0.0000 2.6865 0.0000 -1.5450 0.0000 6.1342" Properties=species:S:1:pos:R:3 comment="RuRh2 (meta-GGA SCAN, PBEsol geometry)" spacegroup=Cm dft_energy_ev_per_atom=-34.09 de_polymorph_ev_per_fu=0.09 total_magnetization_mub_per_cell=0.0 pbc="T T T"
Ru 0.0000 0.0000 0.0000
Ru 1.0742 1.3433 1.9916
Ru 4.8826 1.3433 0.0000
Ru 5.9569 0.0000 1.9916
Rh -0.0689 1.3433 4.4115
Rh 2.6103 0.0000 0.3128
Rh 2.2003 0.0000 4.0525
Rh 3.7315 1.3433 2.3502
Rh 4.8137 0.0000 4.4115
Rh 7.4929 1.3433 0.3128
Rh 7.0829 1.3433 4.0525
Rh 8.6141 0.0000 2.3502

3.
16
Lattice="7.5244 0.0000 0.0000 0.0000 7.5712 0.0000 0.0000 0.0000 3.7516" Properties=species:S:1:pos:R:3 comment="Ru5Rh3 (meta-GGA SCAN, PBEsol geometry)" spacegroup=Cmmm dft_energy_ev_per_atom=-34.36 total_magnetization_mub_per_cell=0.0 pbc="T T T"
Ru 0.0000 0.0000 0.0000
Ru 0.0000 1.8831 1.8758
Ru 0.0000 5.6881 1.8758
Ru 1.8811 1.8928 0.0000
Ru 1.8811 5.6784 0.0000
Ru 3.7622 1.9025 1.8758
Ru 3.7622 3.7856 0.0000
Ru 3.7622 5.6687 1.8758
Ru 5.6433 1.8928 0.0000
Ru 5.6433 5.6784 0.0000
Rh 0.0000 3.7856 0.0000
Rh 1.8725 0.0000 1.8758
Rh 1.8897 3.7856 1.8758
Rh 3.7622 0.0000 0.0000
Rh 5.6347 3.7856 1.8758
Rh 5.6519 0.0000 1.8758